(1)
Material: Ca2ReRh2
Method: DFT, GGA-PBE
State: relaxed

Results
ΔE_f in eV/atom: 1.002
Density in Mg/m³: 7.82
Offset from the most stable computed form in meV per atom: 1047
Spin magnetization in μB/cell: 2.602

a b c (Å): 6.9561 6.9561 6.9561
angles (deg): 146.86 146.86 47.57
Fractional coordinates of all 5 atoms:
Ca (0.2500, 0.7500, 0.5000)
Ca (0.7500, 0.2500, 0.5000)
Re (0.0000, 0.0000, 0.0000)
Rh (0.4046, 0.4046, 0.0000)
Rh (0.5954, 0.5954, 0.0000)

(2)
Material: NdDy5Ru4
Method: DFT, GGA-PBE
State: relaxed

Results
ΔE_f in eV/atom: -0.287
Density in Mg/m³: 10.05
Spin magnetization in μB/cell: 0.000

a b c (Å): 3.4125 3.4125 19.3019
angles (deg): 90.00 90.00 90.00
Fractional coordinates of all 10 atoms:
Nd (0.0000, 0.0000, 0.0000)
Dy (0.5000, 0.5000, 0.1504)
Dy (0.5000, 0.5000, 0.3250)
Dy (0.5000, 0.5000, 0.5000)
Dy (0.5000, 0.5000, 0.6750)
Dy (0.5000, 0.5000, 0.8496)
Ru (0.0000, 0.0000, 0.2316)
Ru (0.0000, 0.0000, 0.4118)
Ru (0.0000, 0.0000, 0.5882)
Ru (0.0000, 0.0000, 0.7684)

(3)
Material: ZrCrTcSb
Method: DFT, GGA-PBE
State: relaxed

Results
Density in Mg/m³: 8.86
Uncorrected formation energy in meV/atom: -121
Spin magnetization in μB/cell: 1.988

a b c (Å): 4.5814 4.5814 4.5814
angles (deg): 60.00 60.00 60.00
Fractional coordinates of all 4 atoms:
Zr (0.0000, 0.0000, 0.0000)
Cr (0.2500, 0.2500, 0.2500)
Tc (0.7500, 0.7500, 0.7500)
Sb (0.5000, 0.5000, 0.5000)

Look up the spin magnetization of the first one. 2.602 μB/cell

What is the spin magnetization in the second record? 0.000 μB/cell